A plane-wave DFT calculation with PBE with a Hubbard U was carried out for a relaxed structure of AcFeSeO6.

Results
Raw total energy ... -6.2473 eV per atom

Cell lengths 5.3937, 5.0281, 5.0281 Å; angles 120.00, 90.00, 90.00 degrees
Last column: nearest neighbours and their distance in Å.
Fractional positions:
1 O 0.6961 0.7196 0.6786  1 Se 1.85, 1 Fe 1.93
2 Se 0.5000 0.0000 0.0000  6 O 1.85
3 O 0.6961 0.9589 0.2804  1 Se 1.85, 1 Fe 1.93
4 O 0.6961 0.3214 0.0411  1 Se 1.85, 1 Fe 1.93
5 Ac 0.0000 0.3333 0.6667  6 O 2.52
6 O 0.3039 0.7196 0.0411  1 Se 1.85, 1 Fe 1.93
7 O 0.3039 0.9589 0.6786  1 Se 1.85, 1 Fe 1.93
8 Fe 0.5000 0.6667 0.3333  6 O 1.93
9 O 0.3039 0.3214 0.2804  1 Se 1.85, 1 Fe 1.93